Density functional theory data (PBE) for NaAsPd after structural relaxation.

Cell and atoms, written as POSCAR:
```
NaAsPd
1.0
4.6456 -1.2691 -0.1589
0.5566 4.7836 -0.1589
0.2563 0.1732 5.8849
As Na Pd
2 2 2
Cartesian
3.6968 0.1353 -0.1589
1.5054 3.3792 -0.1589
1.4506 0.9800 3.6549
4.0080 2.7077 1.9121
1.5094 1.0197 0.7060
3.9491 2.6680 4.8610
```

## Properties
Formation energy from the elements   -0.33 eV/atom
Calculated total energy   -4.05 eV/atom
Crystal system   monoclinic
V   135 Å³/cell